(1)
A relaxed TaTiSb2I crystal, computed with PBE.

Results
* total moment: 0.524 μB per atom
* uncorrected formation energy: 0.83 eV per atom

a b c (Å): 5.3442 5.3442 5.6422
angles (deg): 90.00 90.00 90.00
Space group P4/mmm (No. 123)
Inequivalent atoms, fractional coordinates:
1 Ta 0.0000 0.0000 0.0000
2 Ti 0.5000 0.5000 0.5000
3 Sb 0.0000 0.5000 0.0000
4 I 0.0000 0.0000 0.5000

=====

(2)
A relaxed TaTlSbI2 crystal, computed with PBE.

Results
* total moment: 0.062 μB per atom
* uncorrected formation energy: 0.18 eV per atom

a b c (Å): 5.7043 5.7043 5.4129
angles (deg): 90.00 90.00 90.00
Space group P4/mmm (No. 123)
Inequivalent atoms, fractional coordinates:
1 Ta 0.0000 0.0000 0.0000
2 Tl 0.5000 0.5000 0.5000
3 Sb 0.0000 0.0000 0.5000
4 I 0.0000 0.5000 0.0000